Rb2NaCoC6N6: PBEsol geometry, meta-GGA SCAN.

The structure belongs to space group P2_1/c (No. 14); the cell edges are 7.177, 7.610 and 12.555 Å and the angles 90.00°, 124.08° and 90.00°. The inequivalent atoms are Rb at (0.223, 0.072, 0.248), Na at (0.000, 0.000, 0.500), Co at (0.500, 0.000, 0.000), C at (0.258, 0.134, 0.967), C at (0.328, 0.701, 0.459), C at (0.404, 0.021, 0.830), N at (0.103, 0.218, 0.944), N at (0.215, 0.673, 0.932) and N at (0.341, 0.037, 0.721).

The density is 2.4 g/cm³. As for the volume: 17.7 Å³/atom. The total energy is -366.2 eV for the cell shown. The density of states at the Fermi level comes out at 0.00 states/eV/cell.